Entry 1:
# ThAsC

Crystalline ThAsC at its relaxed geometry (PBE, Alexandria via LeMat-Bulk).

Summary:
Space group = Immm
Total moment = 0.0000 μB/atom
Formation energy = -1.17 eV per formula unit
Crystal system = orthorhombic

Lattice parameters (Å, degrees): 8.466 8.466 8.466 151.46 150.76 41.31
Element x y z (fractional)
Th 0.136 0.136 0.000
Th 0.864 0.864 0.000
As 0.327 0.327 0.000
As 0.673 0.673 0.000
C 0.000 0.349 0.349
C 0.000 0.651 0.651


Entry 2:
# YEr5S6

Crystalline YEr5S6 at its relaxed geometry (PBE, Alexandria via LeMat-Bulk).

Summary:
Space group = C2/m
Total moment = 0.0000 μB/atom
Formation energy without anion corrections = -1.963 eV per atom
Crystal system = monoclinic

Lattice parameters (Å, degrees): 6.719 6.719 6.696 99.67 99.67 120.14
Element x y z (fractional)
Y 0.000 0.000 0.000
Er 0.165 0.835 0.500
Er 0.334 0.666 0.000
Er 0.500 0.500 0.500
Er 0.666 0.334 0.000
Er 0.835 0.165 0.500
S 0.084 0.421 0.252
S 0.253 0.253 0.749
S 0.421 0.084 0.252
S 0.579 0.916 0.748
S 0.747 0.747 0.251
S 0.916 0.579 0.748


Entry 3:
# SmCd2Ag9

Crystalline SmCd2Ag9 at its relaxed geometry (PBE, Alexandria via LeMat-Bulk).

Summary:
Space group = R-3m
Total moment = 0.0000 μB/atom
Formation energy = -0.47 eV per formula unit
Crystal system = trigonal

Lattice parameters (Å, degrees): 9.598 9.598 9.598 34.03 34.03 34.03
Element x y z (fractional)
Sm 0.000 0.000 0.000
Cd 0.143 0.143 0.143
Cd 0.857 0.857 0.857
Ag 0.081 0.588 0.588
Ag 0.334 0.334 0.334
Ag 0.412 0.412 0.919
Ag 0.412 0.919 0.412
Ag 0.500 0.500 0.500
Ag 0.588 0.081 0.588
Ag 0.588 0.588 0.081
Ag 0.666 0.666 0.666
Ag 0.919 0.412 0.412


Entry 4:
# Na4Tm3MnS8

Crystalline Na4Tm3MnS8 at its relaxed geometry (PBE, Alexandria via LeMat-Bulk).

Summary:
Space group = R-3m
Total moment = 0.2500 μB/atom
Formation energy without anion corrections = -1.561 eV per atom
Crystal system = trigonal

Lattice parameters (Å, degrees): 8.019 8.019 8.019 57.48 57.48 57.48
Element x y z (fractional)
Na 0.000 0.000 0.000
Na 0.000 0.500 0.500
Na 0.500 0.000 0.500
Na 0.500 0.500 0.000
Tm 0.000 0.000 0.500
Tm 0.000 0.500 0.000
Tm 0.500 0.000 0.000
Mn 0.500 0.500 0.500
S 0.242 0.242 0.242
S 0.256 0.731 0.731
S 0.269 0.269 0.744
S 0.269 0.744 0.269
S 0.731 0.256 0.731
S 0.731 0.731 0.256
S 0.744 0.269 0.269
S 0.758 0.758 0.758


Entry 5:
# Li2InN

Crystalline Li2InN at its relaxed geometry (PBE, Alexandria via LeMat-Bulk).

Summary:
Space group = I4_1/amd
Total moment = 0.0000 μB/atom
Formation energy without anion corrections = 0.167 eV per atom
Crystal system = tetragonal
Energy above the lowest structure with this stoichiometry = 0 meV/atom

Lattice parameters (Å, degrees): 6.217 6.217 6.217 128.28 128.28 76.17
Element x y z (fractional)
Li 0.000 0.000 0.000
Li 0.000 0.000 0.500
Li 0.000 0.500 0.000
Li 0.500 0.000 0.500
In 0.375 0.625 0.750
In 0.625 0.375 0.250
N 0.125 0.875 0.250
N 0.875 0.125 0.750


Entry 6:
# FeGeTe2I

Crystalline FeGeTe2I at its relaxed geometry (PBE, Alexandria via LeMat-Bulk).

Summary:
Space group = P4/mmm
Total moment = 0.5276 μB/atom
Formation energy without anion corrections = 0.484 eV per atom
Crystal system = tetragonal
Energy above the lowest structure with this stoichiometry = 0 meV/atom

Lattice parameters (Å, degrees): 5.053 5.053 5.513 90.00 90.00 90.00
Element x y z (fractional)
Fe 0.000 0.000 0.000
Ge 0.500 0.500 0.500
Te 0.000 0.500 0.000
Te 0.500 0.000 0.000
I 0.000 0.000 0.500